6
Lattice="0.000 3.413 3.413 3.413 0.000 3.413 3.413 3.413 0.000" Properties=species:S:1:pos:R:3 comment="PBE Mn4SbIr, relaxed" raw_formation_energy_ev_per_atom=0.275 pbc="T T T"
Mn 2.564 2.564 2.564
Mn 4.261 4.261 2.564
Mn 4.261 2.564 4.261
Mn 2.564 4.261 4.261
Sb 0.000 0.000 0.000
Ir 5.119 5.119 5.119

***

12
Lattice="3.198 0.000 0.000 -1.599 2.770 0.000 0.000 0.000 32.549" Properties=species:S:1:pos:R:3 comment="PBE Cd2AgPb, relaxed" delta_e_f_mev_per_atom=73 pbc="T T T"
Cd 0.000 0.000 0.000
Cd 0.000 0.000 7.988
Cd 0.000 1.846 21.699
Cd 0.000 1.846 29.687
Cd 1.599 0.923 10.850
Cd 1.599 0.923 18.838
Ag 0.000 0.000 16.484
Ag 0.000 1.846 5.634
Ag 1.599 0.923 27.334
Pb 0.000 0.000 24.714
Pb 0.000 1.846 13.864
Pb 1.599 0.923 3.014

***

18
Lattice="10.068 -3.050 0.000 10.068 3.050 0.000 -6.035 0.000 9.769" Properties=species:S:1:pos:R:3 comment="PBE PmSm3Ho5, relaxed" delta_e_f_mev_per_atom=314 e_above_lowest_polymorph_ev_per_atom=0.0000 pbc="T T T"
Pm 5.542 2.463 7.326
Pm 8.559 -2.463 2.442
Sm 0.000 0.000 0.000
Sm -3.017 0.000 4.884
Sm 3.599 1.737 4.511
Sm 13.520 1.737 0.374
Sm 0.581 -1.737 9.395
Sm 10.503 -1.737 5.258
Ho 5.485 1.815 1.589
Ho 2.070 1.102 8.384
Ho 11.633 1.815 3.295
Ho 8.559 0.499 2.442
Ho 9.014 1.102 6.269
Ho 5.088 -1.102 3.499
Ho 5.542 -0.499 7.326
Ho 2.468 -1.815 6.473
Ho 12.031 -1.102 1.385
Ho 8.616 -1.815 8.180

***

12
Lattice="3.141 0.000 0.000 -1.570 2.720 0.000 0.000 0.000 25.217" Properties=species:S:1:pos:R:3 comment="PBE Sc2CuOs, relaxed" delta_e_f_mev_per_atom=1 e_above_lowest_polymorph_ev_per_atom=0.4101 pbc="T T T"
Sc 0.000 0.000 6.219
Sc 0.000 0.000 18.998
Sc 0.000 1.813 10.592
Sc 0.000 1.813 23.031
Sc 1.570 0.907 2.187
Sc 1.570 0.907 14.625
Cu 0.000 0.000 0.000
Cu 0.000 1.813 16.812
Cu 1.570 0.907 8.406
Os 0.000 0.000 12.609
Os 0.000 1.813 4.203
Os 1.570 0.907 21.014

***

8
Lattice="5.876 0.000 0.000 0.000 5.917 0.000 0.000 0.000 2.818" Properties=species:S:1:pos:R:3 comment="PBE LiCo2Mo, relaxed" delta_e_f_mev_per_atom=231 e_above_lowest_polymorph_ev_per_atom=0.0852 pbc="T T T"
Li 0.000 0.000 0.000
Li 2.938 2.958 0.000
Co 1.469 1.479 1.409
Co 1.469 4.438 1.409
Co 4.407 1.479 1.409
Co 4.407 4.438 1.409
Mo 0.000 2.958 0.000
Mo 2.938 0.000 0.000

***

16
Lattice="5.321 0.000 0.000 0.000 5.321 0.000 0.000 0.000 16.459" Properties=species:S:1:pos:R:3 comment="PBE BaTcPt2, relaxed" delta_e_f_mev_per_atom=91 e_above_lowest_polymorph_ev_per_atom=0.2976 pbc="T T T"
Ba 0.000 0.000 0.000
Ba 0.000 2.661 4.115
Ba 2.661 0.000 12.344
Ba 2.661 2.661 8.230
Tc 0.000 0.000 8.230
Tc 0.000 2.661 12.344
Tc 2.661 0.000 4.115
Tc 2.661 2.661 0.000
Pt 0.090 1.330 10.287
Pt 1.330 2.751 14.402
Pt 1.330 5.231 6.172
Pt 2.571 1.330 2.057
Pt 2.751 3.991 2.057
Pt 3.991 0.090 6.172
Pt 3.991 2.571 14.402
Pt 5.231 3.991 10.287

***

16
Lattice="7.443 0.000 0.000 0.000 7.443 0.000 0.000 0.000 7.443" Properties=species:S:1:pos:R:3 comment="PBE NaTbScIn, relaxed" delta_e_f_mev_per_atom=-90 pbc="T T T"
Na 0.000 0.000 0.000
Na 0.000 3.722 3.722
Na 3.722 0.000 3.722
Na 3.722 3.722 0.000
Tb 1.861 1.861 1.861
Tb 1.861 5.582 5.582
Tb 5.582 1.861 5.582
Tb 5.582 5.582 1.861
Sc 1.861 1.861 5.582
Sc 1.861 5.582 1.861
Sc 5.582 1.861 1.861
Sc 5.582 5.582 5.582
In 0.000 0.000 3.722
In 0.000 3.722 0.000
In 3.722 0.000 0.000
In 3.722 3.722 3.722

***

6
Lattice="2.951 0.000 0.000 -1.475 2.555 0.000 0.000 0.000 7.513" Properties=species:S:1:pos:R:3 comment="PBE HfBC, relaxed" delta_e_f_mev_per_atom=-267 e_above_lowest_polymorph_ev_per_atom=0.0243 pbc="T T T"
Hf 0.000 0.000 0.000
Hf 0.000 0.000 3.757
B 0.000 1.704 1.878
B 1.475 0.852 5.635
C 0.000 1.704 5.635
C 1.475 0.852 1.878

***

Number 1: calculated volume 79 Å³ per cell. Number 2: calculated volume 288 Å³ per cell. Number 3: calculated volume 600 Å³ per cell. Number 4: calculated volume 215 Å³ per cell. Number 5: calculated volume 98 Å³ per cell. Number 6: calculated volume 466 Å³ per cell. Number 7: calculated volume 412 Å³ per cell. Number 8: calculated volume 57 Å³ per cell.